LiGa2HgTe4 (GGA-PBE, relaxed); DFT total energy = -2.976 eV/atom; spin magnetization = 0.00 μB/cell; crystal system = orthorhombic; uncorrected formation energy = -0.37 eV/atom; DOS(E_F) = 2.286 states/eV per cell
1.0
-2.857 0.388 5.821
-5.576 -0.018 -3.333
4.039 -6.437 -0.914
Te Hg Li Ga
4 1 1 2
Direct
0.604 0.604 0.727
0.122 0.122 0.727
0.381 0.871 0.251
0.871 0.381 0.251
0.003 0.003 0.006
0.504 0.504 0.009
0.258 0.758 0.515
0.758 0.258 0.515

=====

LaCe2AlSi2 (GGA-PBE, relaxed); DFT total energy = -5.227 eV/atom; spin magnetization = 0.86 μB/cell; crystal system = tetragonal; uncorrected formation energy = 0.00 eV/atom; DOS(E_F) = 11.450 states/eV per cell
1.0
4.440 0.000 0.000
0.000 4.440 0.000
-2.220 -2.220 8.481
Al Si La Ce
1 2 1 2
Direct
0.000 0.000 0.000
0.136 0.136 0.271
0.864 0.864 0.729
0.500 0.500 0.000
0.750 0.250 0.500
0.250 0.750 0.500

=====

no.,V (Å³ per atom)
1,32.93
2,27.87